SrEu3Ag | PBE | relaxed

a b c (Å): 6.0847 6.0847 6.0847
angles (deg): 90.00 90.00 90.00
With the nearest neighbours (Å) after each atom.
Fractional coordinates of all 5 atoms:
Sr (0.0000, 0.0000, 0.0000)  12 Eu 4.30
Eu (0.0000, 0.5000, 0.5000)  2 Ag 3.04
Eu (0.5000, 0.0000, 0.5000)  2 Ag 3.04
Eu (0.5000, 0.5000, 0.0000)  2 Ag 3.04
Ag (0.5000, 0.5000, 0.5000)  6 Eu 3.04

Crystal system = cubic
Density of states at the Fermi level = 32.82 states/eV/cell
V = 225.3 Å³/f.u.
Symmetry = Pm-3m
DFT formation energy = -0.2 eV/f.u.